Material: Gd3Bi2P
Method: DFT, GGA-PBE
State: optimized geometry

Summary:
Space-group type = No. 164
DFT total energy = -5.683 eV/atom

abc: 4.298 4.298 10.896
angles: 90.00 90.00 120.00
Fractional positions:
Gd (0.000, 0.000, 0.000)
Gd (0.333, 0.667, 0.359)
Gd (0.667, 0.333, 0.641)
Bi (0.333, 0.667, 0.823)
Bi (0.667, 0.333, 0.177)
P (0.000, 0.000, 0.500)

Material: GdBiPb
Method: DFT, GGA-PBE
State: optimized geometry

Summary:
Space-group type = No. 216
Offset from the most stable computed form = 0 kJ/mol of formula units

abc: 5.273 5.273 5.273
angles: 60.00 60.00 60.00
Fractional positions:
Gd (0.000, 0.000, 0.000)
Bi (0.750, 0.750, 0.750)
Pb (0.250, 0.250, 0.250)

Material: GdBiPb
Method: DFT, GGA-PBE
State: optimized geometry

Summary:
Space-group type = No. 216
Offset from the most stable computed form = 34 kJ/mol of formula units

abc: 5.287 5.287 5.287
angles: 60.00 60.00 60.00
Fractional positions:
Gd (0.000, 0.000, 0.000)
Bi (0.500, 0.500, 0.500)
Pb (0.750, 0.750, 0.750)